(1)
A plane-wave DFT calculation with PBE was carried out for a geometry-optimized Hg2BrF structure. Values from VASP.

Quantum ESPRESSO input file:
```
&SYSTEM
  ibrav = 0, nat = 8, ntyp = 3
/
ATOMIC_SPECIES
Hg 200.59 Hg.upf
Br 79.90 Br.upf
F 19.00 F.upf
ATOMIC_POSITIONS angstrom
Hg -0.791 1.463 2.254
Hg 1.005 -0.300 1.546
Hg 0.257 4.413 4.876
Hg 2.053 2.650 4.169
Br 0.508 4.043 0.455
Br 0.755 0.070 5.968
F -1.641 3.333 3.121
F 2.903 0.780 3.302
CELL_PARAMETERS angstrom
5.861 0.000 0.000
-2.187 5.921 0.000
-2.411 -1.808 6.423
```

Properties
The density of states at the Fermi level comes out at 0.0 states/eV per cell. Its energy relative to the lowest polymorph listed for this composition is 2 meV per atom. As for the formation energy from raw total energies: -779 meV per atom. The space group is P-1 (2).

---

(2)
A plane-wave DFT calculation with PBE was carried out for a geometry-optimized Hg2BrF2 structure. Values from VASP.

Quantum ESPRESSO input file:
```
&SYSTEM
  ibrav = 0, nat = 10, ntyp = 3
/
ATOMIC_SPECIES
Hg 200.59 Hg.upf
Br 79.90 Br.upf
F 19.00 F.upf
ATOMIC_POSITIONS angstrom
Hg 0.000 0.000 0.000
Hg 0.971 2.014 3.150
Hg 3.298 4.571 5.484
Hg 5.826 4.253 2.267
Br 4.035 0.741 1.599
Br 7.217 5.994 5.673
F 1.797 2.368 5.523
F 4.323 5.879 3.385
F 4.122 4.170 0.655
F 4.934 3.367 5.091
CELL_PARAMETERS angstrom
5.906 0.000 0.000
2.900 6.023 0.000
0.132 2.017 6.905
```

Properties
The density of states at the Fermi level comes out at 0.0 states/eV per cell. Its energy relative to the lowest polymorph listed for this composition is 44 meV per atom. As for the formation energy from raw total energies: -991 meV per atom. The space group is P1 (1).

---

(3)
A plane-wave DFT calculation with PBE was carried out for a geometry-optimized Hg6BrF8 structure. Values from VASP.

Quantum ESPRESSO input file:
```
&SYSTEM
  ibrav = 0, nat = 15, ntyp = 3
/
ATOMIC_SPECIES
Hg 200.59 Hg.upf
Br 79.90 Br.upf
F 19.00 F.upf
ATOMIC_POSITIONS angstrom
Hg -1.311 -1.969 8.370
Hg -2.361 0.151 11.610
Hg -1.049 2.120 8.370
Hg 1.049 -2.120 11.610
Hg 2.361 -0.151 8.370
Hg 1.311 1.969 11.610
Br 0.000 0.000 0.000
F -2.227 0.120 9.050
F -1.217 -1.868 10.930
F 0.000 0.000 6.105
F 1.010 -1.988 9.050
F -1.010 1.988 10.930
F 0.000 0.000 13.874
F 1.217 1.869 9.050
F 2.227 -0.120 10.930
CELL_PARAMETERS angstrom
3.496 2.018 6.660
-3.496 2.018 6.660
0.000 -4.037 6.660
```

Properties
The density of states at the Fermi level comes out at 4.5 states/eV per cell. As for the formation energy from raw total energies: -1072 meV per atom. The space group is R-3 (148).

---

(4)
A plane-wave DFT calculation with PBE was carried out for a geometry-optimized HgBrF3 structure. Values from VASP.

Quantum ESPRESSO input file:
```
&SYSTEM
  ibrav = 0, nat = 5, ntyp = 3
/
ATOMIC_SPECIES
Hg 200.59 Hg.upf
Br 79.90 Br.upf
F 19.00 F.upf
ATOMIC_POSITIONS angstrom
Hg 0.000 0.000 0.000
Br 2.258 2.258 2.258
F 0.000 0.000 2.258
F 0.000 2.258 0.000
F 2.258 0.000 0.000
CELL_PARAMETERS angstrom
4.515 0.000 0.000
0.000 4.515 0.000
0.000 0.000 4.515
```

Properties
The density of states at the Fermi level comes out at 7.7 states/eV per cell. Its energy relative to the lowest polymorph listed for this composition is 358 meV per atom. As for the formation energy from raw total energies: -668 meV per atom. The space group is Pm-3m (221).

---

(5)
A plane-wave DFT calculation with PBE was carried out for a geometry-optimized HgBr3F12 structure. Values from VASP.

Quantum ESPRESSO input file:
```
&SYSTEM
  ibrav = 0, nat = 32, ntyp = 3
/
ATOMIC_SPECIES
Hg 200.59 Hg.upf
Br 79.90 Br.upf
F 19.00 F.upf
ATOMIC_POSITIONS angstrom
Hg 0.000 0.000 0.000
Hg 0.000 0.000 8.419
Br -1.511 -3.215 6.942
Br -3.576 -0.320 9.748
Br -2.029 2.916 6.942
Br 2.065 -2.937 9.748
Br 3.540 0.299 6.942
Br 1.511 3.257 9.748
F -1.509 -5.176 6.858
F -5.225 -1.360 9.835
F -2.242 0.055 4.137
F -3.015 1.299 6.938
F -1.435 -1.267 7.029
F 1.073 -1.969 4.137
F -2.589 -1.937 9.744
F -3.728 3.895 6.858
F 0.383 -3.261 6.938
F -1.877 0.659 9.664
F 1.168 1.914 4.137
F -0.380 1.876 7.029
F 0.367 -1.955 9.664
F 1.814 -0.609 7.029
F -1.073 -1.969 12.556
F -0.383 3.211 9.744
F 3.790 -3.845 9.835
F -1.168 1.914 12.556
F 2.632 1.962 6.938
F 1.509 1.296 9.664
F 2.972 -1.274 9.744
F 5.237 1.281 6.858
F 2.242 0.055 12.556
F 1.435 5.205 9.835
CELL_PARAMETERS angstrom
5.605 3.236 5.613
-5.605 3.236 5.613
0.000 -6.472 5.613
```

Properties
The density of states at the Fermi level comes out at 19.8 states/eV per cell. As for the formation energy from raw total energies: -979 meV per atom. The space group is R3c (161).

---

(6)
A plane-wave DFT calculation with PBE was carried out for a geometry-optimized Hg2BrF2 structure. Values from VASP.

Quantum ESPRESSO input file:
```
&SYSTEM
  ibrav = 0, nat = 10, ntyp = 3
/
ATOMIC_SPECIES
Hg 200.59 Hg.upf
Br 79.90 Br.upf
F 19.00 F.upf
ATOMIC_POSITIONS angstrom
Hg 0.000 0.000 0.000
Hg 4.114 2.822 3.768
Hg 2.572 0.641 0.866
Hg 7.005 2.507 1.230
Br 6.427 2.372 4.928
Br 8.748 4.283 2.660
F 5.619 4.103 1.764
F 4.443 1.361 1.847
F 10.426 4.385 5.870
F 9.542 1.213 5.159
CELL_PARAMETERS angstrom
6.437 0.000 0.000
3.087 5.716 0.000
3.129 -1.025 6.332
```

Properties
The density of states at the Fermi level comes out at 0.0 states/eV per cell. Its energy relative to the lowest polymorph listed for this composition is 49 meV per atom. As for the formation energy from raw total energies: -986 meV per atom. The space group is P1 (1).

---

(7)
A plane-wave DFT calculation with PBE was carried out for a geometry-optimized HgBrF3 structure. Values from VASP.

Quantum ESPRESSO input file:
```
&SYSTEM
  ibrav = 0, nat = 10, ntyp = 3
/
ATOMIC_SPECIES
Hg 200.59 Hg.upf
Br 79.90 Br.upf
F 19.00 F.upf
ATOMIC_POSITIONS angstrom
Hg 0.000 0.000 0.000
Hg -0.099 -0.300 3.729
Br 1.050 3.442 1.972
Br 2.956 2.026 1.928
F 0.321 2.735 0.295
F 0.161 -2.346 4.637
F 1.085 -0.904 1.855
F 0.881 1.382 4.842
F 3.584 -1.513 3.668
F 4.887 0.650 1.930
CELL_PARAMETERS angstrom
6.093 0.000 0.000
-1.973 5.776 0.000
-1.679 -3.045 5.612
```

Properties
The density of states at the Fermi level comes out at 0.0 states/eV per cell. Its energy relative to the lowest polymorph listed for this composition is 0 meV per atom. As for the formation energy from raw total energies: -1025 meV per atom. The space group is P1 (1).

---

(8)
A plane-wave DFT calculation with PBE was carried out for a geometry-optimized HgBr2F structure. Values from VASP.

Quantum ESPRESSO input file:
```
&SYSTEM
  ibrav = 0, nat = 4, ntyp = 3
/
ATOMIC_SPECIES
Hg 200.59 Hg.upf
Br 79.90 Br.upf
F 19.00 F.upf
ATOMIC_POSITIONS angstrom
Hg 0.000 0.000 0.000
Br 0.000 0.000 2.418
Br 0.000 0.000 21.395
F 0.000 0.000 11.906
CELL_PARAMETERS angstrom
2.218 1.281 7.938
-2.218 1.281 7.938
0.000 -2.561 7.938
```

Properties
The density of states at the Fermi level comes out at 5.7 states/eV per cell. Its energy relative to the lowest polymorph listed for this composition is 395 meV per atom. As for the formation energy from raw total energies: -148 meV per atom. The space group is R-3m (166).

---

(9)
A plane-wave DFT calculation with PBE was carried out for a geometry-optimized Hg2BrF2 structure. Values from VASP.

Quantum ESPRESSO input file:
```
&SYSTEM
  ibrav = 0, nat = 5, ntyp = 3
/
ATOMIC_SPECIES
Hg 200.59 Hg.upf
Br 79.90 Br.upf
F 19.00 F.upf
ATOMIC_POSITIONS angstrom
Hg 0.000 0.000 0.000
Hg 2.321 1.728 2.984
Br 0.906 0.688 4.889
F 1.949 1.451 0.608
F 4.047 3.015 2.358
CELL_PARAMETERS angstrom
3.917 0.000 0.000
1.138 3.761 0.000
1.192 0.957 7.751
```

Properties
The density of states at the Fermi level comes out at 1.0 states/eV per cell. Its energy relative to the lowest polymorph listed for this composition is 147 meV per atom. As for the formation energy from raw total energies: -887 meV per atom. The space group is P1 (1).

---

(10)
A plane-wave DFT calculation with PBE was carried out for a geometry-optimized Hg2Br2F structure. Values from VASP.

Quantum ESPRESSO input file:
```
&SYSTEM
  ibrav = 0, nat = 10, ntyp = 3
/
ATOMIC_SPECIES
Hg 200.59 Hg.upf
Br 79.90 Br.upf
F 19.00 F.upf
ATOMIC_POSITIONS angstrom
Hg 0.000 0.000 0.000
Hg -1.773 3.526 3.910
Hg 1.669 1.676 5.441
Hg 3.842 -0.334 8.098
Br -0.366 0.548 4.552
Br -0.733 4.557 0.651
Br 0.297 4.543 4.873
Br 2.893 2.452 2.575
F 1.896 0.534 7.626
F 3.336 2.836 6.033
CELL_PARAMETERS angstrom
6.477 0.000 0.000
-2.835 5.852 0.000
-0.209 -1.303 8.301
```

Properties
The density of states at the Fermi level comes out at 0.0 states/eV per cell. Its energy relative to the lowest polymorph listed for this composition is 0 meV per atom. As for the formation energy from raw total energies: -720 meV per atom. The space group is P1 (1).